GeMo2HRh | GGA-PBE | relaxed

Properties
D(E_F) ... 2.315 states/eV per cell
Crystal system ... tetragonal
Spin magnetization ... 0.00 Bohr magnetons per cell
Symmetry ... No. 123
Calculated density ... 9.7 g cm⁻³
Electronic total energy ... -36.9 eV/cell

Geometry as CIF:
```
data_GeMo2HRh
_cell_length_a 3.7958
_cell_length_b 3.7958
_cell_length_c 4.3993
_cell_angle_alpha 90.00
_cell_angle_beta 90.00
_cell_angle_gamma 90.00
_symmetry_space_group_name_H-M 'P 1'
_symmetry_Int_Tables_number 1
loop_
_symmetry_equiv_pos_as_xyz
'x,y,z'
loop_
_atom_site_label
_atom_site_fract_x
_atom_site_fract_y
_atom_site_fract_z
_atom_site_occupancy
Ge1 0.0000 0.0000 0.0000 1
Mo1 0.0000 0.5000 0.5000 1
Mo2 0.5000 0.0000 0.5000 1
H1 0.5000 0.5000 0.5000 1
Rh1 0.5000 0.5000 0.0000 1
```